# PBE with a Hubbard U RbAcCo2F8, optimized geometry
# Raw total energy (eV/f.u.): -63.8
data_RbAcCo2F8
_chemical_formula_sum 'Rb1 Ac1 Co2 F8'
_space_group_name_H-M_alt 'P -3'
_space_group_IT_number 147
_space_group_name_Hall '-P 3'
_cell_length_a 5.7631
_cell_length_b 5.7631
_cell_length_c 8.7884
_cell_angle_alpha 90.00
_cell_angle_beta 90.00
_cell_angle_gamma 120.00
loop_
_atom_site_label
_atom_site_type_symbol
_atom_site_fract_x
_atom_site_fract_y
_atom_site_fract_z
Rb1 Rb 0.0000 0.0000 0.0000
Ac1 Ac 0.0000 0.0000 0.5000
Co1 Co 0.3333 0.6667 0.7827
F1 F 0.0614 0.3393 0.6824
F2 F 0.3333 0.6667 0.9940